Entry 1:
DFT (PBE) results for a relaxed Cd3Cu4 crystal.

Calculated values
Its distance to the lowest polymorph of the same formula is 0 kJ/mol of formula units. Its space-group type is No. 139.

abc: 3.1871 3.1871 11.1984
angles: 81.82 81.82 90.00
Positions (direct):
Cd: 0.0000 0.0000 0.0000
Cu: 0.1274 0.1274 0.7453
Cu: 0.4259 0.4259 0.1482
Cd: 0.7016 0.7016 0.5968
Cu: 0.5741 0.5741 0.8518
Cd: 0.2984 0.2984 0.4032
Cu: 0.8726 0.8726 0.2547



Entry 2:
DFT (PBE) results for a relaxed CdCu5 crystal.

Calculated values
Its distance to the lowest polymorph of the same formula is 6 kJ/mol of formula units. Its space-group type is No. 65.

abc: 5.8296 5.8296 3.8777
angles: 90.00 90.00 142.34
Positions (direct):
Cd: 0.9722 0.0278 0.0000
Cu: 0.4722 0.5278 0.5000
Cu: 0.6468 0.3532 0.0000
Cu: 0.7985 0.2015 0.5000
Cu: 0.2977 0.7023 0.0000
Cu: 0.1460 0.8540 0.5000



Entry 3:
DFT (PBE) results for a relaxed CdCu2 crystal.

Calculated values
Its space-group type is No. 160.

abc: 6.7393 6.7393 6.7393
angles: 24.33 24.33 24.33
Positions (direct):
Cu: 0.5489 0.5489 0.5489
Cd: 0.0001 0.0001 0.0001
Cu: 0.7843 0.7843 0.7843



Entry 4:
DFT (PBE) results for a relaxed Cd2Cu17 crystal.

Calculated values
Its space-group type is No. 166.

abc: 6.3981 6.3981 6.3981
angles: 81.97 81.97 81.97
Positions (direct):
Cu: 0.5000 0.0000 0.0000
Cu: 0.6961 0.3039 0.0000
Cu: 0.3039 0.0000 0.6961
Cu: 0.6540 0.6540 0.1559
Cu: 0.0000 0.6961 0.3039
Cu: 0.0980 0.0980 0.0980
Cu: 0.9020 0.9020 0.9020
Cu: 0.0000 0.0000 0.5000
Cu: 0.6961 0.0000 0.3039
Cu: 0.0000 0.3039 0.6961
Cu: 0.3039 0.6961 0.0000
Cu: 0.3460 0.8441 0.3460
Cu: 0.6540 0.1559 0.6540
Cu: 0.3460 0.3460 0.8441
Cd: 0.6567 0.6567 0.6567
Cd: 0.3433 0.3433 0.3433
Cu: 0.0000 0.5000 0.0000
Cu: 0.1559 0.6540 0.6540
Cu: 0.8441 0.3460 0.3460



Entry 5:
DFT (PBE) results for a relaxed CdCu2 crystal.

Calculated values
Its space-group type is No. 194.

abc: 4.0320 4.0320 9.6776
angles: 90.00 90.00 120.00
Positions (direct):
Cd: 0.3333 0.6667 0.2500
Cd: 0.6667 0.3333 0.7500
Cu: 0.0000 0.0000 0.1210
Cu: 0.0000 0.0000 0.8790
Cu: 0.0000 0.0000 0.3790
Cu: 0.0000 0.0000 0.6210



Entry 6:
DFT (PBE) results for a relaxed Cd6Cu crystal.

Calculated values
Its distance to the lowest polymorph of the same formula is 0 kJ/mol of formula units. Its space-group type is No. 63.

abc: 5.4008 5.4008 10.2192
angles: 90.00 90.00 98.89
Positions (direct):
Cu: 0.4709 0.4709 0.7500
Cd: 0.1412 0.1412 0.6028
Cd: 0.6779 0.3221 0.5000
Cd: 0.0194 0.3896 0.2500
Cd: 0.3221 0.6779 0.0000
Cd: 0.8588 0.8588 0.3972
Cd: 0.3896 0.0194 0.2500
Cu: 0.5291 0.5291 0.2500
Cd: 0.6779 0.3221 0.0000
Cd: 0.6104 0.9806 0.7500
Cd: 0.3221 0.6779 0.5000
Cd: 0.8588 0.8588 0.1028
Cd: 0.1412 0.1412 0.8972
Cd: 0.9806 0.6104 0.7500



Entry 7:
DFT (PBE) results for a relaxed CdCu2 crystal.

Calculated values
Its space-group type is No. 123.

abc: 3.4266 3.4266 4.3734
angles: 90.00 90.00 90.00
Positions (direct):
Cd: 0.0000 0.0000 0.0000
Cu: 0.5000 0.0000 0.5000
Cu: 0.0000 0.5000 0.5000



Entry 8:
DFT (PBE) results for a relaxed CdCu6 crystal.

Calculated values
Its distance to the lowest polymorph of the same formula is 452 kJ/mol of formula units. Its space-group type is No. 229.

abc: 5.5901 5.5901 5.5901
angles: 109.47 109.47 109.47
Positions (direct):
Cu: 0.5000 0.2500 0.7500
Cu: 0.7500 0.2500 0.5000
Cu: 0.7500 0.5000 0.2500
Cu: 0.2500 0.7500 0.5000
Cu: 0.2500 0.5000 0.7500
Cd: 0.0000 0.0000 0.0000
Cu: 0.5000 0.7500 0.2500



Entry 9:
DFT (PBE) results for a relaxed CdCu2 crystal.

Calculated values
Its space-group type is No. 74.

abc: 2.8947 4.1670 16.0873
angles: 90.00 90.00 90.00
Positions (direct):
Cu: 0.0000 0.7500 0.8100
Cu: 0.5000 0.7500 0.5391
Cu: 0.0000 0.2500 0.1900
Cd: 0.0000 0.2500 0.6178
Cu: 0.5000 0.7500 0.6900
Cd: 0.0000 0.7500 0.3822
Cd: 0.5000 0.7500 0.1178
Cu: 0.0000 0.7500 0.9609
Cu: 0.0000 0.2500 0.0391
Cu: 0.5000 0.2500 0.4609
Cd: 0.5000 0.2500 0.8822
Cu: 0.5000 0.2500 0.3100



Entry 10:
DFT (PBE) results for a relaxed CdCu2 crystal.

Calculated values
Its space-group type is No. 189.

abc: 7.5781 7.5781 2.7460
angles: 90.00 90.00 120.00
Positions (direct):
Cu: 0.0000 0.6433 0.5000
Cd: 0.3333 0.6667 0.0000
Cd: 0.6667 0.3333 0.0000
Cu: 0.3106 0.0000 0.0000
Cu: 0.6433 0.0000 0.5000
Cd: 0.0000 0.0000 0.5000
Cu: 0.0000 0.3106 0.0000
Cu: 0.3567 0.3567 0.5000
Cu: 0.6894 0.6894 0.0000



Entry 11:
DFT (PBE) results for a relaxed CdCu8 crystal.

Calculated values
Its space-group type is No. 139.

abc: 3.7067 5.8990 5.8990
angles: 95.66 108.31 71.69
Positions (direct):
Cu: 0.3252 0.3496 0.0000
Cu: 0.3405 0.6595 0.3405
Cu: 0.0000 0.3405 0.3405
Cu: 0.6748 0.6504 0.0000
Cu: 0.3252 0.0000 0.6504
Cu: 0.0000 0.6595 0.6595
Cu: 0.6595 0.3405 0.6595
Cd: 0.0000 0.0000 0.0000
Cu: 0.6748 0.0000 0.3496



Entry 12:
DFT (PBE) results for a relaxed CdCu2 crystal.

Calculated values
Its space-group type is No. 194.

abc: 5.0848 5.0848 8.0091
angles: 90.00 90.00 60.00
Positions (direct):
Cd: 0.3333 0.3333 0.9397
Cd: 0.6667 0.6667 0.4397
Cu: 0.3375 0.8313 0.7500
Cu: 0.8313 0.3375 0.7500
Cd: 0.3333 0.3333 0.5603
Cu: 0.0000 0.0000 0.0000
Cu: 0.8313 0.8313 0.7500
Cu: 0.1687 0.6625 0.2500
Cu: 0.0000 0.0000 0.5000
Cu: 0.1687 0.1687 0.2500
Cd: 0.6667 0.6667 0.0603
Cu: 0.6625 0.1687 0.2500



no.,energy relative to the elements (eV/atom)
1,0.052
2,0.059
3,0.157
4,0.074
5,0.661
6,0.016
7,0.206
8,0.776
9,0.181
10,0.158
11,0.042
12,0.013